Entry 1:
VASP calculation (PBE-GGA) on an optimized crystal structure of TbNd4Ho2.

Cell lengths 6.242, 6.661, 11.684 Å; angles 90.00, 104.79, 90.00 degrees
Element x y z (fractional)
Tb 0.151 0.250 0.162
Tb 0.849 0.750 0.838
Nd 0.036 0.250 0.863
Nd 0.150 0.250 0.450
Nd 0.353 0.509 0.715
Nd 0.353 0.991 0.715
Nd 0.647 0.009 0.285
Nd 0.647 0.491 0.285
Nd 0.850 0.750 0.550
Nd 0.964 0.750 0.137
Ho 0.289 0.750 0.425
Ho 0.393 0.750 0.004
Ho 0.607 0.250 0.996
Ho 0.711 0.250 0.575

Crystal system: monoclinic
Total moment (μB/f.u.): 0.000
Energy of formation (eV per atom): 0.12
Symmetry: P2_1/m, No. 11
Excess energy over the best structure of this formula in the dataset (eV/f.u.): 0.453

***

Entry 2:
VASP calculation (PBE-GGA) on an optimized crystal structure of Sn3Hg12Te5.

Cell lengths 15.053, 15.053, 15.053 Å; angles 109.47, 109.47, 109.47 degrees
Element x y z (fractional)
Sn 0.125 0.250 0.375
Sn 0.125 0.375 0.750
Sn 0.250 0.375 0.125
Sn 0.250 0.875 0.625
Sn 0.375 0.125 0.250
Sn 0.375 0.750 0.125
Sn 0.625 0.250 0.875
Sn 0.625 0.875 0.750
Sn 0.750 0.125 0.375
Sn 0.750 0.625 0.875
Sn 0.875 0.625 0.250
Sn 0.875 0.750 0.625
Hg 0.067 0.238 0.136
Hg 0.067 0.329 0.930
Hg 0.070 0.636 0.399
Hg 0.070 0.933 0.671
Hg 0.101 0.738 0.671
Hg 0.101 0.864 0.430
Hg 0.136 0.067 0.238
Hg 0.136 0.570 0.899
Hg 0.171 0.238 0.601
Hg 0.171 0.433 0.570
Hg 0.238 0.136 0.067
Hg 0.238 0.601 0.171
Hg 0.262 0.329 0.899
Hg 0.262 0.433 0.364
Hg 0.329 0.899 0.262
Hg 0.329 0.930 0.067
Hg 0.364 0.262 0.433
Hg 0.364 0.601 0.930
Hg 0.399 0.070 0.636
Hg 0.399 0.829 0.762
Hg 0.430 0.101 0.864
Hg 0.430 0.829 0.567
Hg 0.433 0.364 0.262
Hg 0.433 0.570 0.171
Hg 0.567 0.430 0.829
Hg 0.567 0.636 0.738
Hg 0.570 0.171 0.433
Hg 0.570 0.899 0.136
Hg 0.601 0.171 0.238
Hg 0.601 0.930 0.364
Hg 0.636 0.399 0.070
Hg 0.636 0.738 0.567
Hg 0.671 0.070 0.933
Hg 0.671 0.101 0.738
Hg 0.738 0.567 0.636
Hg 0.738 0.671 0.101
Hg 0.762 0.399 0.829
Hg 0.762 0.864 0.933
Hg 0.829 0.567 0.430
Hg 0.829 0.762 0.399
Hg 0.864 0.430 0.101
Hg 0.864 0.933 0.762
Hg 0.899 0.136 0.570
Hg 0.899 0.262 0.329
Hg 0.930 0.067 0.329
Hg 0.930 0.364 0.601
Hg 0.933 0.671 0.070
Hg 0.933 0.762 0.864
Te 0.000 0.000 0.000
Te 0.000 0.000 0.500
Te 0.000 0.500 0.000
Te 0.000 0.500 0.500
Te 0.125 0.750 0.875
Te 0.125 0.875 0.250
Te 0.250 0.125 0.875
Te 0.250 0.625 0.375
Te 0.375 0.250 0.625
Te 0.375 0.625 0.750
Te 0.500 0.000 0.000
Te 0.500 0.000 0.500
Te 0.500 0.500 0.000
Te 0.500 0.500 0.500
Te 0.625 0.375 0.250
Te 0.625 0.750 0.375
Te 0.750 0.375 0.625
Te 0.750 0.875 0.125
Te 0.875 0.125 0.750
Te 0.875 0.250 0.125

Crystal system: cubic
Total moment (μB/f.u.): 0.000
E_form (uncorrected) (eV/atom): 0.056
Symmetry: Ia-3d, No. 230

***

Entry 3:
VASP calculation (PBE-GGA) on an optimized crystal structure of Li2CaTe.

Cell lengths 4.392, 4.392, 19.891 Å; angles 90.00, 90.00, 120.00 degrees
Element x y z (fractional)
Li 0.000 0.000 0.214
Li 0.000 0.000 0.786
Li 0.333 0.667 0.453
Li 0.333 0.667 0.880
Li 0.667 0.333 0.120
Li 0.667 0.333 0.547
Ca 0.000 0.000 0.000
Ca 0.333 0.667 0.667
Ca 0.667 0.333 0.333
Te 0.000 0.000 0.500
Te 0.333 0.667 0.167
Te 0.667 0.333 0.833

Crystal system: trigonal
Total moment (μB/f.u.): 0.000
E_form (uncorrected) (eV/atom): -0.559
Symmetry: R-3m, No. 166

***

Entry 4:
VASP calculation (PBE-GGA) on an optimized crystal structure of Y2FeTe.

Cell lengths 3.688, 3.688, 7.429 Å; angles 90.00, 90.00, 90.00 degrees
Element x y z (fractional)
Y 0.000 0.000 0.000
Y 0.500 0.500 0.340
Fe 0.000 0.000 0.571
Te 0.500 0.500 0.752

Crystal system: tetragonal
Total moment (μB/f.u.): 4.036
E_form (uncorrected) (eV/atom): -0.160
Symmetry: P4mm, No. 99
Excess energy over the best structure of this formula in the dataset (eV/f.u.): 1.445

***

Entry 5:
VASP calculation (PBE-GGA) on an optimized crystal structure of Pu2InF.

Cell lengths 3.329, 3.329, 28.371 Å; angles 90.00, 90.00, 120.00 degrees
Element x y z (fractional)
Pu 0.000 0.000 0.237
Pu 0.000 0.000 0.763
Pu 0.333 0.667 0.430
Pu 0.333 0.667 0.904
Pu 0.667 0.333 0.096
Pu 0.667 0.333 0.570
In 0.000 0.000 0.000
In 0.333 0.667 0.667
In 0.667 0.333 0.333
F 0.000 0.000 0.500
F 0.333 0.667 0.167
F 0.667 0.333 0.833

Crystal system: trigonal
Total moment (μB/f.u.): 11.988
E_form (uncorrected) (eV/atom): -0.931
Symmetry: R-3m, No. 166
Excess energy over the best structure of this formula in the dataset (eV/f.u.): 0.053

***

Entry 6:
VASP calculation (PBE-GGA) on an optimized crystal structure of Tb3HgH.

Cell lengths 3.726, 9.829, 6.825 Å; angles 90.00, 105.82, 90.00 degrees
Element x y z (fractional)
Tb 0.046 0.250 0.093
Tb 0.366 0.053 0.735
Tb 0.366 0.447 0.735
Tb 0.634 0.553 0.265
Tb 0.634 0.947 0.265
Tb 0.954 0.750 0.907
Hg 0.261 0.750 0.521
Hg 0.739 0.250 0.479
H 0.453 0.250 0.907
H 0.547 0.750 0.093

Crystal system: monoclinic
Total moment (μB/f.u.): 0.000
Symmetry: P2_1/m, No. 11
Excess energy over the best structure of this formula in the dataset (eV/f.u.): 0.000

***

Entry 7:
VASP calculation (PBE-GGA) on an optimized crystal structure of Rb2CdSnPb6.

Cell lengths 16.556, 16.556, 16.556 Å; angles 26.42, 26.42, 26.42 degrees
Element x y z (fractional)
Rb 0.125 0.125 0.125
Rb 0.311 0.311 0.311
Rb 0.689 0.689 0.689
Rb 0.875 0.875 0.875
Cd 0.000 0.000 0.000
Cd 0.500 0.500 0.500
Sn 0.425 0.425 0.425
Sn 0.575 0.575 0.575
Pb 0.084 0.656 0.656
Pb 0.196 0.196 0.764
Pb 0.196 0.764 0.196
Pb 0.236 0.804 0.804
Pb 0.344 0.344 0.916
Pb 0.344 0.916 0.344
Pb 0.656 0.084 0.656
Pb 0.656 0.656 0.084
Pb 0.764 0.196 0.196
Pb 0.804 0.236 0.804
Pb 0.804 0.804 0.236
Pb 0.916 0.344 0.344

Crystal system: trigonal
Total moment (μB/f.u.): 0.000
Energy of formation (eV per atom): 0.08
Symmetry: R-3m, No. 166

***

Entry 8:
VASP calculation (PBE-GGA) on an optimized crystal structure of Tm5Pt3.

Cell lengths 10.877, 10.877, 6.406 Å; angles 90.00, 90.00, 90.00 degrees
Element x y z (fractional)
Tm 0.043 0.161 0.123
Tm 0.043 0.339 0.623
Tm 0.161 0.043 0.623
Tm 0.161 0.457 0.123
Tm 0.250 0.750 0.000
Tm 0.250 0.750 0.500
Tm 0.339 0.043 0.123
Tm 0.339 0.457 0.623
Tm 0.457 0.161 0.623
Tm 0.457 0.339 0.123
Tm 0.543 0.661 0.877
Tm 0.543 0.839 0.377
Tm 0.661 0.543 0.377
Tm 0.661 0.957 0.877
Tm 0.750 0.250 0.000
Tm 0.750 0.250 0.500
Tm 0.839 0.543 0.877
Tm 0.839 0.957 0.377
Tm 0.957 0.661 0.377
Tm 0.957 0.839 0.877
Pt 0.096 0.596 0.750
Pt 0.096 0.904 0.250
Pt 0.250 0.250 0.382
Pt 0.250 0.250 0.882
Pt 0.404 0.596 0.250
Pt 0.404 0.904 0.750
Pt 0.596 0.096 0.250
Pt 0.596 0.404 0.750
Pt 0.750 0.750 0.118
Pt 0.750 0.750 0.618
Pt 0.904 0.096 0.750
Pt 0.904 0.404 0.250

Crystal system: tetragonal
Total moment (μB/f.u.): 0.000
Energy of formation (eV per atom): -1.09
Symmetry: P4/ncc, No. 130
Excess energy over the best structure of this formula in the dataset (eV/f.u.): 0.000

***

Entry 9:
VASP calculation (PBE-GGA) on an optimized crystal structure of Ac5BrN4.

Cell lengths 6.875, 6.875, 10.490 Å; angles 118.69, 118.69, 33.14 degrees
Element x y z (fractional)
Ac 0.000 0.000 0.000
Ac 0.211 0.211 0.831
Ac 0.392 0.392 0.648
Ac 0.608 0.608 0.352
Ac 0.789 0.789 0.169
Br 0.000 0.000 0.500
N 0.187 0.187 0.277
N 0.400 0.400 0.100
N 0.600 0.600 0.900
N 0.813 0.813 0.723

Crystal system: monoclinic
Total moment (μB/f.u.): 0.000
E_form (uncorrected) (eV/atom): -1.106
Symmetry: C2/m, No. 12

***

Entry 10:
VASP calculation (PBE-GGA) on an optimized crystal structure of Ca3Al7Ag2.

Cell lengths 5.639, 5.639, 9.510 Å; angles 107.04, 107.04, 60.06 degrees
Element x y z (fractional)
Ca 0.000 0.000 0.000
Ca 0.143 0.143 0.428
Ca 0.857 0.857 0.572
Al 0.077 0.587 0.247
Al 0.413 0.923 0.753
Al 0.414 0.414 0.753
Al 0.500 0.500 0.500
Al 0.586 0.586 0.247
Al 0.587 0.077 0.247
Al 0.923 0.413 0.753
Ag 0.336 0.336 0.007
Ag 0.664 0.664 0.993

Crystal system: monoclinic
Total moment (μB/f.u.): 0.000
Energy of formation (eV per atom): -0.32
Symmetry: C2/m, No. 12

***

Entry 11:
VASP calculation (PBE-GGA) on an optimized crystal structure of Ba2HgSbS5.

Cell lengths 9.568, 9.568, 12.597 Å; angles 90.00, 90.00, 154.73 degrees
Element x y z (fractional)
Ba 0.113 0.887 0.500
Ba 0.126 0.874 0.112
Ba 0.874 0.126 0.612
Ba 0.887 0.113 0.000
Hg 0.455 0.545 0.257
Hg 0.545 0.455 0.757
Sb 0.218 0.782 0.820
Sb 0.782 0.218 0.320
S 0.073 0.927 0.862
S 0.280 0.720 0.458
S 0.295 0.705 0.180
S 0.354 0.646 0.809
S 0.498 0.502 0.574
S 0.502 0.498 0.074
S 0.646 0.354 0.309
S 0.705 0.295 0.680
S 0.720 0.280 0.958
S 0.927 0.073 0.362

Crystal system: orthorhombic
Total moment (μB/f.u.): 0.000
E_form (uncorrected) (eV/atom): -1.007
Symmetry: Cmc2_1, No. 36

***

Entry 12:
VASP calculation (PBE-GGA) on an optimized crystal structure of TcPRu.

Cell lengths 2.887, 2.887, 9.494 Å; angles 90.00, 90.00, 90.00 degrees
Element x y z (fractional)
Tc 0.000 0.000 0.000
Tc 0.500 0.500 0.500
P 0.000 0.000 0.354
P 0.500 0.500 0.854
Ru 0.000 0.000 0.703
Ru 0.500 0.500 0.203

Crystal system: tetragonal
Total moment (μB/f.u.): 0.000
Energy of formation (eV per atom): -0.29
Symmetry: I4mm, No. 107
Excess energy over the best structure of this formula in the dataset (eV/f.u.): 0.000